No. 1
A plane-wave DFT calculation with PBE was carried out for NaGaSn2H after structural relaxation.

Cell: 4.740 4.740 4.569 Å, 90.00 90.00 90.00°
Fractional coordinates of all 5 atoms:
Na1 0.000 0.000 0.000
Ga1 0.500 0.500 0.000
Sn1 0.000 0.500 0.500
Sn2 0.500 0.000 0.500
H1 0.000 0.000 0.500

Values from the calculation:
Uncorrected energy in eV per atom: -3.0323
DOS(E_F) in states/eV/atom: 0.400
Spin magnetization in μB per formula unit: 0.00

=====

No. 2
A plane-wave DFT calculation with PBE was carried out for CdAs3 after structural relaxation.

Cell: 4.681 8.081 5.659 Å, 90.00 90.00 90.00°
Fractional coordinates of all 8 atoms:
Cd1 0.250 0.250 0.072
Cd2 0.750 0.750 0.928
As1 0.250 0.006 0.404
As2 0.250 0.494 0.404
As3 0.250 0.750 0.164
As4 0.750 0.250 0.836
As5 0.750 0.506 0.596
As6 0.750 0.994 0.596

Values from the calculation:
Relative energy among the computed polymorphs in meV/atom: 0
Energy relative to the elements in meV per atom: -27.3
DOS(E_F) in states/eV/atom: 0.015
Spin magnetization in μB per formula unit: 0.00

=====

No. 3
A plane-wave DFT calculation with PBE was carried out for Rb8PaS6 after structural relaxation.

Cell: 9.417 9.798 13.314 Å, 90.00 90.00 90.00°
Fractional coordinates of all 30 atoms:
Rb1 0.000 0.152 0.000
Rb2 0.000 0.202 0.462
Rb3 0.185 0.639 0.113
Rb4 0.196 0.593 0.797
Rb5 0.231 0.962 0.765
Rb6 0.269 0.038 0.265
Rb7 0.304 0.407 0.297
Rb8 0.315 0.361 0.613
Rb9 0.500 0.798 0.962
Rb10 0.500 0.848 0.500
Rb11 0.685 0.361 0.613
Rb12 0.696 0.407 0.297
Rb13 0.731 0.038 0.265
Rb14 0.769 0.962 0.765
Rb15 0.804 0.593 0.797
Rb16 0.815 0.639 0.113
Pa1 0.000 0.714 0.466
Pa2 0.500 0.286 0.966
S1 0.000 0.271 0.230
S2 0.000 0.497 0.582
S3 0.000 0.798 0.940
S4 0.000 0.922 0.584
S5 0.223 0.726 0.353
S6 0.277 0.274 0.853
S7 0.500 0.078 0.084
S8 0.500 0.202 0.440
S9 0.500 0.503 0.082
S10 0.500 0.729 0.730
S11 0.723 0.274 0.853
S12 0.777 0.726 0.353

Values from the calculation:
ΔE_f (raw) in eV/atom: -1.09
DOS(E_F) in states/eV/atom: 0.039
Spin magnetization in μB per formula unit: 1.01

=====

No. 4
A plane-wave DFT calculation with PBE was carried out for SrTe2BrN after structural relaxation.

Cell: 6.066 6.066 3.804 Å, 90.00 90.00 90.00°
Fractional coordinates of all 5 atoms:
Sr1 0.000 0.000 0.000
Te1 0.000 0.500 0.500
Te2 0.500 0.000 0.500
Br1 0.500 0.500 0.500
N1 0.500 0.500 0.000

Values from the calculation:
Relative energy among the computed polymorphs in meV/atom: 0
ΔE_f (raw) in eV/atom: 0.53
DOS(E_F) in states/eV/atom: 0.484
Spin magnetization in μB per formula unit: 0.06

=====

No. 5
A plane-wave DFT calculation with PBE was carried out for BaNbBiB2 after structural relaxation.

Cell: 4.869 4.869 6.440 Å, 90.00 90.00 90.00°
Fractional coordinates of all 5 atoms:
Ba1 0.000 0.000 0.000
Nb1 0.500 0.500 0.000
Bi1 0.000 0.000 0.500
B1 0.000 0.500 0.500
B2 0.500 0.000 0.500

Values from the calculation:
Energy relative to the elements in meV per atom: 2309.2
DOS(E_F) in states/eV/atom: 0.694
Spin magnetization in μB per formula unit: 3.64

=====

No. 6
A plane-wave DFT calculation with PBE was carried out for NbRh3Pb after structural relaxation.

Cell: 4.789 4.789 4.789 Å, 90.00 90.00 90.00°
Fractional coordinates of all 5 atoms:
Nb1 0.000 0.000 0.000
Rh1 0.000 0.000 0.500
Rh2 0.000 0.500 0.000
Rh3 0.500 0.000 0.000
Pb1 0.500 0.500 0.500

Values from the calculation:
Relative energy among the computed polymorphs in meV/atom: 0
Energy relative to the elements in meV per atom: 692.0
DOS(E_F) in states/eV/atom: 0.941
Spin magnetization in μB per formula unit: 0.00